[1]
Computed, not measured: Tm2NpTl2Se6 after structural relaxation at the PBE-GGA level of DFT.

Unit cell a=7.115 b=12.349 c=8.202 alpha=90.00 beta=107.08 gamma=90.00
Space group C2/m (No. 12)
Unique sites:
Tm (0.000, 0.167, 0.000) (multiplicity 4)
Np (0.000, 0.500, 0.000) (multiplicity 2)
Tl (0.000, 0.333, 0.500) (multiplicity 4)
Se (0.233, 0.334, 0.200) (multiplicity 8)
Se (0.236, 0.000, 0.200) (multiplicity 4)

Results
* theoretical density: 7.0 g/cm³
* total energy: -5.6115 eV/atom
* ΔE_f (raw): -1.29 eV/atom
* crystal system: monoclinic



[2]
Computed, not measured: TmNp3Tl3Se8 after structural relaxation at the PBE-GGA level of DFT.

Unit cell a=14.476 b=8.331 c=9.154 alpha=90.00 beta=121.75 gamma=90.00
Space group C2/m (No. 12)
Unique sites:
Tm (0.000, 0.000, 0.000) (multiplicity 2)
Np (0.000, 0.500, 0.000) (multiplicity 2)
Np (0.250, 0.250, 0.000) (multiplicity 4)
Tl (0.000, 0.000, 0.500) (multiplicity 2)
Tl (0.250, 0.250, 0.500) (multiplicity 4)
Se (0.015, 0.248, 0.799) (multiplicity 8)
Se (0.233, 0.000, 0.199) (multiplicity 4)
Se (0.234, 0.500, 0.203) (multiplicity 4)

Results
* theoretical density: 7.5 g/cm³
* total energy: -6.3011 eV/atom
* ΔE_f (raw): -1.08 eV/atom
* crystal system: monoclinic



[3]
Computed, not measured: Tm2NpTl3Se6 after structural relaxation at the PBE-GGA level of DFT.

Unit cell a=7.236 b=12.529 c=8.126 alpha=90.00 beta=107.27 gamma=90.00
Space group C2/m (No. 12)
Unique sites:
Tm (0.000, 0.167, 0.000) (multiplicity 4)
Np (0.000, 0.500, 0.000) (multiplicity 2)
Tl (0.000, 0.000, 0.500) (multiplicity 2)
Tl (0.000, 0.335, 0.500) (multiplicity 4)
Se (0.227, 0.000, 0.202) (multiplicity 4)
Se (0.238, 0.330, 0.203) (multiplicity 8)

Results
* theoretical density: 7.8 g/cm³
* total energy: -5.3613 eV/atom
* ΔE_f (raw): -1.20 eV/atom
* crystal system: monoclinic



[4]
Computed, not measured: Tm3NpTl3Se8 after structural relaxation at the PBE-GGA level of DFT.

Unit cell a=8.2339 b=8.2339 c=23.5081 alpha=90.00 beta=90.00 gamma=120.00
Space group R-3m (No. 166, hexagonal axes)
Unique sites:
Tm (0.0000, 0.5000, 0.0000) (multiplicity 9)
Np (0.0000, 0.0000, 0.0000) (multiplicity 3)
Tl (0.0000, 0.5000, 0.5000) (multiplicity 9)
Se (0.0000, 0.0000, 0.2664) (multiplicity 6)
Se (0.0000, 0.5000, 0.2666) (multiplicity 18)

Results
* theoretical density: 7.2 g/cm³
* total energy: -5.4025 eV/atom
* ΔE_f (raw): -1.31 eV/atom
* crystal system: trigonal



[5]
Computed, not measured: Np2UTl3Se6 after structural relaxation at the PBE-GGA level of DFT.

Unit cell a=7.285 b=12.618 c=8.167 alpha=90.00 beta=107.30 gamma=90.00
Space group C2/m (No. 12)
Unique sites:
Np (0.000, 0.167, 0.000) (multiplicity 4)
U (0.000, 0.500, 0.000) (multiplicity 2)
Tl (0.000, 0.000, 0.500) (multiplicity 2)
Tl (0.000, 0.332, 0.500) (multiplicity 4)
Se (0.233, 0.335, 0.203) (multiplicity 8)
Se (0.238, 0.000, 0.204) (multiplicity 4)

Results
* theoretical density: 8.3 g/cm³
* total energy: -6.3315 eV/atom
* ΔE_f (raw): -0.90 eV/atom
* crystal system: monoclinic



[6]
Computed, not measured: NpU3Tl4Se8 after structural relaxation at the PBE-GGA level of DFT.

Unit cell a=8.3549 b=8.3549 c=23.5948 alpha=90.00 beta=90.00 gamma=120.00
Space group R-3m (No. 166, hexagonal axes)
Unique sites:
Np (0.0000, 0.0000, 0.0000) (multiplicity 3)
U (0.0000, 0.5000, 0.0000) (multiplicity 9)
Tl (0.0000, 0.0000, 0.5000) (multiplicity 3)
Tl (0.0000, 0.5000, 0.5000) (multiplicity 9)
Se (0.0000, 0.0000, 0.2647) (multiplicity 6)
Se (0.0021, 0.5010, 0.2649) (multiplicity 18)

Results
* theoretical density: 8.4 g/cm³
* total energy: -6.1460 eV/atom
* ΔE_f (raw): -0.89 eV/atom
* crystal system: trigonal